! KSr2NiF8, relaxed, DFT GGA+U; values from VASP
&SYSTEM
  ibrav = 0, nat = 12, ntyp = 4
/
ATOMIC_SPECIES
F 19.00 F.upf
K 39.10 K.upf
Sr 87.62 Sr.upf
Ni 58.69 Ni.upf
CELL_PARAMETERS angstrom
-2.8478 -3.0544 1.4417
4.0910 -3.2588 -1.5863
3.1579 0.4554 7.2120
ATOMIC_POSITIONS crystal
F 0.6081 0.7914 0.0000
F 0.9310 0.2272 0.1846
F 0.0690 0.7728 0.8154
F 0.0688 0.7726 0.1845
F 0.3919 0.2086 0.0000
F 0.5503 0.2696 0.5001
F 0.9312 0.2274 0.8155
F 0.4497 0.7304 0.4999
K 0.0000 0.0000 0.5000
Sr 0.5002 0.5001 0.7559
Sr 0.4998 0.4999 0.2441
Ni 0.0000 0.0000 0.0000
! Electronic total energy   -4.79 eV/atom
! SG   P2/m